# 1
Density functional theory data (PBE) for a relaxed Dy2Pu3PaSe6 crystal. Values from VASP.

Computed properties:
The calculation puts the total DFT energy (no corrections) at -8.446 eV per atom. As for the raw formation energy: -1562 meV/atom. For the calculated volume, the calculation gives 292.77 Å³ per cell. The density of states at the Fermi level is 2.022 states/eV per atom.

The structure in Quantum ESPRESSO input format:
```
&SYSTEM
  ibrav = 0, nat = 12, ntyp = 4
/
ATOMIC_SPECIES
Se 78.96 Se.upf
Dy 162.50 Dy.upf
Pa 231.04 Pa.upf
Pu 244.00 Pu.upf
CELL_PARAMETERS angstrom
4.079 0.000 0.000
0.000 8.225 0.376
-2.039 -2.282 8.622
ATOMIC_POSITIONS angstrom
Se 0.000 5.960 6.072
Se 0.000 1.905 5.868
Se 2.039 4.038 3.130
Se 2.039 3.881 8.868
Se 0.000 2.062 0.130
Se 2.039 -0.017 2.926
Dy 0.000 2.023 2.989
Dy 2.039 3.921 6.009
Pa 2.039 0.000 0.000
Pu 2.039 4.113 0.188
Pu 0.000 6.145 3.155
Pu 2.039 -0.202 5.843
```



# 2
Density functional theory data (PBE) for a relaxed DyPu2PaSe5 crystal. Values from VASP.

Computed properties:
The calculation puts the total DFT energy (no corrections) at -7.637 eV per atom. As for the raw formation energy: -950 meV/atom. For the calculated volume, the calculation gives 293.49 Å³ per cell. The density of states at the Fermi level is 2.667 states/eV per atom.

The structure in Quantum ESPRESSO input format:
```
&SYSTEM
  ibrav = 0, nat = 9, ntyp = 4
/
ATOMIC_SPECIES
Se 78.96 Se.upf
Dy 162.50 Dy.upf
Pa 231.04 Pa.upf
Pu 244.00 Pu.upf
CELL_PARAMETERS angstrom
-3.223 3.579 2.027
-4.110 -2.910 -1.395
0.356 -5.050 9.481
ATOMIC_POSITIONS angstrom
Se 0.269 -3.814 7.161
Se -3.666 0.335 0.316
Se 0.087 -1.236 2.320
Se -1.877 -3.980 4.043
Se -1.433 -0.735 5.754
Dy 0.000 0.000 0.000
Pa 0.178 -2.525 4.741
Pu -3.422 -3.127 6.815
Pu -3.554 -1.254 3.298
```



# 3
Density functional theory data (PBE) for a relaxed DyPuPaTc crystal. Values from VASP.

Computed properties:
The calculation puts the total DFT energy (no corrections) at -9.571 eV per atom. For the calculated volume, the calculation gives 88.54 Å³ per cell. The formation energy is 0.5 eV per formula unit. The density of states at the Fermi level is 2.002 states/eV per atom.

The structure in Quantum ESPRESSO input format:
```
&SYSTEM
  ibrav = 0, nat = 4, ntyp = 4
/
ATOMIC_SPECIES
Dy 162.50 Dy.upf
Tc 98.00 Tc.upf
Pa 231.04 Pa.upf
Pu 244.00 Pu.upf
CELL_PARAMETERS angstrom
-4.618 -0.497 -1.860
-2.810 -3.930 1.299
-3.975 0.639 2.970
ATOMIC_POSITIONS angstrom
Dy -5.701 -1.894 1.205
Tc -2.851 -0.947 0.602
Pa 0.000 0.000 0.000
Pu -8.552 -2.841 1.807
```



Look up the calculated volume of the first one. 292.77 Å³ per cell